Entry 1:
VASP calculation (GGA-PBE) on crystalline PrBeSi2Ir at its relaxed geometry.

POSCAR file:
```
PrBeSi2Ir
1.0
-2.000 2.000 5.207
2.000 -2.000 5.207
2.000 2.000 -5.207
Pr Be Si Ir
1 1 2 1
Cartesian
0.000 0.000 0.000
2.000 0.000 2.603
0.000 0.000 3.939
0.000 0.000 6.474
0.000 2.000 2.603
```

Results
SG = I-4m2 (119)
Energy relative to the elements, uncorrected = -0.706 eV per atom

***

Entry 2:
VASP calculation (GGA-PBE) on crystalline AsIrAu2 at its relaxed geometry.

POSCAR file:
```
AsIrAu2
1.0
1.413 -2.501 0.000
1.413 2.501 0.000
0.000 0.000 9.912
As Ir Au
1 1 2
Cartesian
0.000 0.000 0.000
0.000 0.000 4.956
1.413 0.000 2.548
1.413 0.000 7.364
```

Results
Energy of formation = 152 kJ/mol of formula units
SG = Cmmm (65)

***

Theoretical density, record by record: 7.9; 15.7 g/cm³
Electronic total energy, record by record: -31.74; -18.48 eV for the cell shown
Calculated volume, record by record: 83.29; 70.05 Å³ per cell